Entry a
# Li5Co3O8

A relaxed Li5Co3O8 crystal (GGA+U, the Alexandria database).

Cell lengths 5.729, 5.729, 5.729 Å; angles 59.28, 59.28, 59.28 degrees
Last column: magnetic moment on the atom in μB.
Element x y z (fractional)
O  0.221  0.749  0.749  0.07
O  0.779  0.251  0.251  0.07
O  0.749  0.221  0.749  0.07
O  0.251  0.251  0.779  0.07
O  0.240  0.240  0.240  -0.04
O  0.749  0.749  0.221  0.07
O  0.251  0.779  0.251  0.07
O  0.760  0.760  0.760  -0.04
Co  0.500  0.000  0.000  0.52
Co  0.000  0.000  0.500  0.52
Co  0.000  0.500  0.000  0.52
Li  0.500  0.500  0.000  0.00
Li  0.000  0.500  0.500  0.00
Li  0.500  0.000  0.500  0.00
Li  0.000  0.000  0.000  0.02
Li  0.500  0.500  0.500  0.02



Entry b
# Li5Co3O8

A relaxed Li5Co3O8 crystal (GGA+U, the Alexandria database).

Cell lengths 4.898, 4.992, 5.679 Å; angles 106.76, 89.96, 98.97 degrees
Last column: magnetic moment on the atom in μB.
Element x y z (fractional)
O  0.637  0.778  0.210  0.03
O  0.361  0.218  0.322  0.03
O  0.363  0.222  0.790  0.03
O  0.133  0.783  0.446  -0.04
O  0.898  0.225  0.058  0.06
O  0.102  0.775  0.942  0.06
O  0.639  0.782  0.678  0.03
O  0.867  0.217  0.554  -0.04
Li  0.254  0.505  0.630  0.00
Li  0.258  0.499  0.120  0.00
Li  0.500  0.000  0.000  0.01
Li  0.746  0.495  0.370  0.00
Li  0.742  0.501  0.880  0.00
Co  0.000  0.001  0.754  0.42
Co  0.500  0.000  0.500  0.96
Co  0.000  0.999  0.246  0.42



Which structure is the least stable? The one labeled entry a.



Entry a
# Li5Co3O8

A relaxed Li5Co3O8 crystal (GGA+U, the Alexandria database).

Cell lengths 2.872, 4.991, 9.667 Å; angles 78.89, 90.00, 90.00 degrees
Last column: magnetic moment on the atom in μB.
Element x y z (fractional)
Li  0.500  0.259  0.745  0.01
Li  0.500  0.000  0.500  0.02
Li  0.000  0.761  0.745  0.01
Li  0.500  0.741  0.255  0.01
Li  0.000  0.239  0.255  0.01
O  0.000  0.831  0.387  0.24
O  0.500  0.866  0.884  0.25
O  0.500  0.134  0.116  0.25
O  0.500  0.386  0.391  -0.07
O  0.000  0.615  0.111  0.11
O  0.000  0.169  0.613  0.24
O  0.500  0.614  0.609  -0.07
O  0.000  0.385  0.889  0.11
Co  0.500  0.500  0.000  0.01
Co  0.000  0.500  0.500  1.52
Co  0.000  0.000  0.000  3.05



Entry b
# Li5Co3O8

A relaxed Li5Co3O8 crystal (GGA+U, the Alexandria database).

Cell lengths 2.826, 19.853, 2.826 Å; angles 81.81, 120.00, 90.00 degrees
Last column: magnetic moment on the atom in μB.
Element x y z (fractional)
Li  0.247  0.629  0.495  0.00
Li  0.253  0.120  0.506  0.00
Li  0.753  0.871  0.505  0.00
Li  0.747  0.380  0.494  0.00
Li  0.500  0.250  0.000  -0.01
O  0.374  0.939  0.748  0.01
O  0.869  0.697  0.737  0.00
O  0.638  0.043  0.275  0.02
O  0.626  0.561  0.252  0.01
O  0.121  0.319  0.242  0.74
O  0.131  0.803  0.263  0.00
O  0.879  0.181  0.758  0.74
O  0.362  0.457  0.725  0.02
Co  0.500  0.750  0.000  0.01
Co  0.995  0.508  0.990  0.09
Co  0.005  0.992  0.010  0.09



Entry c
# Li5Co3O8

A relaxed Li5Co3O8 crystal (GGA+U, the Alexandria database).

Cell lengths 5.679, 4.898, 5.012 Å; angles 70.34, 90.00, 90.00 degrees
Last column: magnetic moment on the atom in μB.
Element x y z (fractional)
O  0.766  0.252  0.219  0.04
O  0.000  0.758  0.218  -0.04
O  0.500  0.783  0.227  0.05
O  0.000  0.242  0.782  -0.04
O  0.234  0.748  0.781  0.04
O  0.234  0.252  0.219  0.04
O  0.766  0.748  0.781  0.04
O  0.500  0.217  0.773  0.05
Li  0.500  0.500  0.000  0.01
Li  0.500  0.000  0.500  0.00
Li  0.000  0.000  0.500  0.01
Li  0.260  0.500  0.500  0.00
Li  0.740  0.500  0.500  0.00
Co  0.747  0.000  0.000  0.40
Co  0.000  0.500  0.000  0.95
Co  0.253  0.000  0.000  0.40



Entry d
# Li5Co3O8

A relaxed Li5Co3O8 crystal (GGA+U, the Alexandria database).

Cell lengths 9.587, 9.587, 4.939 Å; angles 86.35, 86.35, 17.00 degrees
Last column: magnetic moment on the atom in μB.
Element x y z (fractional)
Co  0.000  0.000  0.000  1.21
Co  0.750  0.750  0.750  0.07
Co  0.250  0.250  0.250  0.07
O  0.555  0.555  0.829  -0.04
O  0.304  0.304  0.568  0.01
O  0.445  0.445  0.171  -0.04
O  0.696  0.696  0.432  0.01
O  0.942  0.942  0.722  0.30
O  0.803  0.803  0.071  0.01
O  0.197  0.197  0.929  0.01
O  0.058  0.058  0.278  0.30
Li  0.624  0.624  0.115  0.01
Li  0.376  0.376  0.885  0.01
Li  0.121  0.121  0.611  0.00
Li  0.879  0.879  0.389  0.00
Li  0.500  0.500  0.500  0.01



Which structure is the least stable? The one labeled entry b.



Entry a
# Li5Co3O8

A relaxed Li5Co3O8 crystal (GGA+U, the Alexandria database).

Cell lengths 2.978, 5.057, 9.875 Å; angles 101.20, 92.48, 104.37 degrees
Last column: magnetic moment on the atom in μB.
Element x y z (fractional)
Li  0.251  0.487  0.626  0.01
Li  0.500  0.000  0.500  0.01
Li  0.243  0.502  0.125  0.01
Li  0.749  0.513  0.374  0.01
Li  0.757  0.498  0.875  0.01
Co  0.990  0.003  0.259  2.35
Co  0.010  0.997  0.741  2.35
Co  0.500  0.000  0.000  1.88
O  0.860  0.781  0.073  0.07
O  0.652  0.227  0.693  0.15
O  0.140  0.219  0.927  0.07
O  0.884  0.761  0.582  0.26
O  0.116  0.239  0.418  0.26
O  0.348  0.773  0.307  0.15
O  0.639  0.227  0.179  0.06
O  0.361  0.773  0.821  0.06



Entry b
# Li5Co3O8

A relaxed Li5Co3O8 crystal (GGA+U, the Alexandria database).

Cell lengths 2.917, 5.863, 8.044 Å; angles 90.96, 90.22, 91.89 degrees
Last column: magnetic moment on the atom in μB.
Element x y z (fractional)
O  0.985  0.280  0.483  0.01
O  0.534  0.019  0.255  0.13
O  0.466  0.981  0.745  0.13
O  0.015  0.720  0.517  0.01
O  0.001  0.253  0.023  0.29
O  0.536  0.509  0.739  0.07
O  0.464  0.491  0.261  0.07
O  0.999  0.747  0.977  0.29
Co  0.500  0.500  0.500  -0.01
Co  0.001  0.754  0.760  2.38
Co  0.999  0.246  0.240  2.38
Li  0.500  0.500  0.000  0.01
Li  0.998  0.244  0.757  0.01
Li  0.500  0.000  0.000  0.01
Li  0.002  0.756  0.243  0.01
Li  0.500  0.000  0.500  0.01



Entry c
# Li5Co3O8

A relaxed Li5Co3O8 crystal (GGA+U, the Alexandria database).

Cell lengths 5.674, 5.674, 4.991 Å; angles 73.05, 73.05, 59.91 degrees
Last column: magnetic moment on the atom in μB.
Element x y z (fractional)
Li  0.000  0.000  0.000  0.01
Li  0.752  0.752  0.500  0.01
Li  0.761  0.239  0.500  0.00
Li  0.248  0.248  0.500  0.01
Li  0.239  0.761  0.500  0.00
Co  0.500  0.000  0.000  0.37
Co  0.500  0.500  0.000  0.94
Co  0.000  0.500  0.000  0.37
O  0.389  0.858  0.780  0.04
O  0.140  0.140  0.221  0.09
O  0.611  0.142  0.220  0.04
O  0.371  0.371  0.781  -0.05
O  0.860  0.860  0.779  0.09
O  0.142  0.611  0.220  0.04
O  0.858  0.389  0.780  0.04
O  0.629  0.629  0.219  -0.05



Which structure is the least stable? The one labeled entry a.



Entry a
# Li5Co3O8

A relaxed Li5Co3O8 crystal (GGA+U, the Alexandria database).

Cell lengths 2.979, 5.004, 9.683 Å; angles 77.42, 86.99, 88.67 degrees
Last column: magnetic moment on the atom in μB.
Element x y z (fractional)
O  0.454  0.126  0.134  0.15
O  0.989  0.585  0.141  0.26
O  0.475  0.652  0.623  0.06
O  0.546  0.874  0.866  0.15
O  0.033  0.093  0.627  0.08
O  0.011  0.415  0.859  0.26
O  0.525  0.348  0.377  0.06
O  0.967  0.907  0.373  0.08
Co  0.018  0.748  0.760  2.35
Co  0.982  0.252  0.240  2.35
Co  0.500  0.000  0.500  1.88
Li  0.500  0.500  0.000  0.01
Li  0.000  0.500  0.500  0.01
Li  0.480  0.742  0.251  0.01
Li  0.000  0.000  0.000  0.01
Li  0.520  0.258  0.749  0.01



Entry b
# Li5Co3O8

A relaxed Li5Co3O8 crystal (GGA+U, the Alexandria database).

Cell lengths 6.382, 6.382, 9.885 Å; angles 51.63, 51.63, 26.32 degrees
Last column: magnetic moment on the atom in μB.
Element x y z (fractional)
Li  0.749  0.749  0.624  0.01
Li  0.500  0.500  0.000  0.01
Li  0.251  0.251  0.376  0.01
Li  0.244  0.244  0.879  0.01
Li  0.756  0.756  0.121  0.01
Co  0.002  0.002  0.758  2.54
Co  0.500  0.500  0.500  -0.08
Co  0.998  0.998  0.242  2.54
O  0.610  0.610  0.572  0.01
O  0.881  0.881  0.197  0.27
O  0.104  0.104  0.333  -0.01
O  0.896  0.896  0.667  -0.01
O  0.617  0.617  0.081  0.09
O  0.383  0.383  0.919  0.09
O  0.119  0.119  0.803  0.27
O  0.390  0.390  0.428  0.01



Which structure is the least stable? The one labeled entry a.



Entry a
# LiCo3O

A relaxed LiCo3O crystal (GGA+U, the Alexandria database).

Cell lengths 3.970, 3.970, 3.970 Å; angles 90.00, 90.00, 90.00 degrees
Last column: magnetic moment on the atom in μB.
Element x y z (fractional)
Co  0.500  0.000  0.000  1.78
Co  0.000  0.000  0.500  2.01
Co  0.000  0.500  0.000  1.95
O  0.500  0.500  0.500  0.21
Li  0.000  0.000  0.000  -0.12



Entry b
# LiCo3O

A relaxed LiCo3O crystal (GGA+U, the Alexandria database).

Cell lengths 3.782, 3.782, 3.782 Å; angles 90.00, 90.00, 90.00 degrees
Last column: magnetic moment on the atom in μB.
Element x y z (fractional)
O  0.000  0.000  0.000  0.09
Co  0.000  0.000  0.500  1.38
Co  0.000  0.500  0.000  1.48
Co  0.500  0.000  0.000  1.56
Li  0.500  0.500  0.500  -0.08



Which structure is the least stable? The one labeled entry a.



Entry a
# Li17Co4O16

A relaxed Li17Co4O16 crystal (GGA+U, the Alexandria database).

Cell lengths 6.647, 7.270, 7.766 Å; angles 89.66, 90.00, 90.00 degrees
Last column: magnetic moment on the atom in μB.
Element x y z (fractional)
Li  0.763  0.526  0.652  0.01
Li  0.798  0.472  0.983  0.00
Li  0.237  0.526  0.652  0.01
Li  0.202  0.472  0.983  0.00
Li  0.707  0.033  0.482  0.00
Li  0.237  0.949  0.155  0.01
Li  0.500  0.770  0.677  0.01
Li  0.293  0.033  0.482  0.00
Li  0.234  0.476  0.337  0.00
Li  0.763  0.949  0.155  0.01
Li  0.739  0.037  0.840  0.00
Li  0.500  0.238  0.161  0.01
Li  0.766  0.476  0.337  0.00
Li  0.261  0.037  0.840  0.00
Li  0.000  0.227  0.603  0.02
Li  0.000  0.818  0.473  0.02
Li  0.500  0.673  0.983  0.03
O  0.000  0.012  0.296  0.04
O  0.278  0.719  0.481  0.37
O  0.743  0.300  0.523  0.21
O  0.500  0.536  0.206  0.37
O  0.500  0.034  0.692  0.18
O  0.236  0.789  0.962  0.38
O  0.000  0.967  0.700  0.35
O  0.000  0.461  0.185  0.12
O  0.722  0.719  0.481  0.37
O  0.000  0.532  0.786  0.35
O  0.772  0.201  0.048  -0.02
O  0.764  0.789  0.962  0.38
O  0.500  0.505  0.779  0.21
O  0.500  0.970  0.274  0.34
O  0.228  0.201  0.048  -0.02
O  0.257  0.300  0.523  0.21
Co  0.500  0.288  0.645  2.94
Co  0.000  0.218  0.167  0.91
Co  0.000  0.772  0.852  3.13
Co  0.500  0.733  0.348  3.10



Entry b
# Li17Co4O16

A relaxed Li17Co4O16 crystal (GGA+U, the Alexandria database).

Cell lengths 6.707, 7.317, 7.750 Å; angles 90.77, 90.00, 90.00 degrees
Last column: magnetic moment on the atom in μB.
Element x y z (fractional)
Li  0.229  0.488  0.667  0.01
Li  0.500  0.308  0.990  0.02
Li  0.000  0.808  0.553  0.02
Li  0.253  0.030  0.155  0.01
Li  0.692  0.975  0.486  0.00
Li  0.195  0.498  0.002  0.00
Li  0.308  0.975  0.486  0.00
Li  0.247  0.543  0.348  0.00
Li  0.747  0.030  0.155  0.01
Li  0.805  0.498  0.002  0.00
Li  0.000  0.193  0.468  0.02
Li  0.771  0.488  0.667  0.01
Li  0.745  0.961  0.828  0.00
Li  0.255  0.961  0.828  0.00
Li  0.500  0.691  0.034  0.02
Li  0.753  0.543  0.348  0.00
Li  0.500  0.244  0.680  0.01
O  0.742  0.710  0.540  0.23
O  0.000  0.043  0.693  0.37
O  0.767  0.202  0.972  0.37
O  0.000  0.541  0.211  0.38
O  0.229  0.792  0.025  0.38
O  0.000  0.459  0.805  0.37
O  0.500  0.043  0.285  0.37
O  0.500  0.978  0.692  0.17
O  0.258  0.710  0.540  0.23
O  0.771  0.792  0.025  0.38
O  0.281  0.297  0.488  0.38
O  0.500  0.510  0.803  0.20
O  0.233  0.202  0.972  0.37
O  0.500  0.466  0.201  0.34
O  0.000  0.965  0.304  0.35
O  0.719  0.297  0.488  0.38
Co  0.000  0.776  0.145  3.12
Co  0.500  0.720  0.654  2.94
Co  0.000  0.221  0.858  3.13
Co  0.500  0.279  0.354  3.12



Which structure is the least stable? The one labeled entry a.